1.
This record from the Alexandria database describes an optimized crystal structure of Dy3Te3I. The functional is PBE.

Cell: 4.3426 4.3426 12.1406 Å, 90.00 90.00 90.00°
Fractional coordinates of all 7 atoms:
Dy: 0.0000 0.0000 0.7489
Dy: 0.0000 0.0000 0.2511
Dy: 0.5000 0.5000 0.0000
Te: 0.0000 0.0000 0.0000
Te: 0.5000 0.5000 0.7410
Te: 0.5000 0.5000 0.2590
I: 0.0000 0.0000 0.5000

Calculated values
**Space group**: P4/mmm, No. 123
**Electronic total energy**: -34.08 eV per formula unit
**Uncorrected formation energy**: -1329 meV per atom
**Density of states at the Fermi level**: 3.62 states/eV per cell

***

2.
This record from the Alexandria database describes an optimized crystal structure of ScNiPtI2. The functional is PBE.

Cell: 5.4758 5.0446 5.4758 Å, 90.00 90.00 90.00°
Fractional coordinates of all 5 atoms:
I: 0.0000 0.0000 0.5000
I: 0.5000 0.0000 0.0000
Ni: 0.5000 0.5000 0.5000
Sc: 0.0000 0.5000 0.0000
Pt: 0.0000 0.0000 0.0000

Calculated values
**Space group**: P4/mmm, No. 123
**Electronic total energy**: -18.25 eV per formula unit
**Uncorrected formation energy**: 601 meV per atom
**Density of states at the Fermi level**: 10.27 states/eV per cell

***

3.
This record from the Alexandria database describes an optimized crystal structure of RhW5. The functional is PBE.

Cell: 5.2465 5.2465 4.4944 Å, 90.00 90.00 120.00°
Fractional coordinates of all 6 atoms:
Rh: 0.0000 0.0000 0.0000
W: 0.0000 0.5000 0.5000
W: 0.3333 0.6667 0.0000
W: 0.5000 0.0000 0.5000
W: 0.5000 0.5000 0.5000
W: 0.6667 0.3333 0.0000

Calculated values
**Space group**: P6/mmm, No. 191
**Electronic total energy**: -67.71 eV per formula unit
**Formation energy**: 0.735 eV/atom
**Density of states at the Fermi level**: 5.82 states/eV per cell

***

4.
This record from the Alexandria database describes an optimized crystal structure of TlCuHg2. The functional is PBE.

Cell: 7.4262 7.4262 7.4262 Å, 155.40 145.03 43.22°
Fractional coordinates of all 4 atoms:
Cu: 0.7569 0.2569 0.5000
Hg: 0.9266 0.9266 0.0000
Hg: 0.2506 0.7506 0.5000
Tl: 0.5659 0.5659 0.0000

Calculated values
**Space group**: Imm2, No. 44
**Electronic total energy**: -6.54 eV per formula unit
**Formation energy**: 0.132 eV/atom
**Density of states at the Fermi level**: 1.42 states/eV per cell